(1)
This record from Alexandria via LeMat-Bulk describes a relaxed Ce2Pr2Ga3 crystal. The functional is PBE-GGA.

```
data_Ce2Pr2Ga3
_chemical_formula_sum 'Ce2 Pr2 Ga3'
_symmetry_space_group_name_H-M 'P 1'
_symmetry_Int_Tables_number 1
_symmetry_space_group_name_Hall 'P 1'
_cell_length_a 4.3320
_cell_length_b 7.1435
_cell_length_c 6.9807
_cell_angle_alpha 112.26
_cell_angle_beta 90.00
_cell_angle_gamma 107.65
loop_
_atom_site_label
_atom_site_type_symbol
_atom_site_fract_x
_atom_site_fract_y
_atom_site_fract_z
Ga1 Ga 0.5787 0.1573 0.4403
Ga2 Ga 0.5000 0.0000 0.0000
Ga3 Ga 0.4213 0.8427 0.5597
Pr1 Pr 0.1744 0.3488 0.2608
Pr2 Pr 0.8256 0.6512 0.7392
Ce1 Ce 0.8952 0.7905 0.2290
Ce2 Ce 0.1048 0.2095 0.7710
```

Summary:
VASP energy ... -4.70 eV/atom
ρ ... 6.78 g/cm³
Space-group type ... C2/m (12)
Spin magnetization ... 1.933 μB/cell
DOS(E_F) ... 14.7 states/eV/cell
Formation energy ... -0.34 eV per atom



(2)
This record from Alexandria via LeMat-Bulk describes a relaxed CePrGa crystal. The functional is PBE-GGA.

```
data_CePrGa
_chemical_formula_sum 'Ce1 Pr1 Ga1'
_symmetry_space_group_name_H-M 'P 1'
_symmetry_Int_Tables_number 1
_symmetry_space_group_name_Hall 'P 1'
_cell_length_a 3.7720
_cell_length_b 4.9198
_cell_length_c 4.9198
_cell_angle_alpha 120.00
_cell_angle_beta 90.00
_cell_angle_gamma 90.00
loop_
_atom_site_label
_atom_site_type_symbol
_atom_site_fract_x
_atom_site_fract_y
_atom_site_fract_z
Pr1 Pr 0.6858 0.3333 0.6667
Ga1 Ga 0.9987 0.0000 0.0000
Ce1 Ce 0.3154 0.6667 0.3333
```

Summary:
VASP energy ... -4.80 eV/atom
ρ ... 7.37 g/cm³
Space-group type ... P3m1 (156)
Spin magnetization ... 0.671 μB/cell
DOS(E_F) ... 5.5 states/eV/cell
Formation energy ... -0.22 eV per atom



(3)
This record from Alexandria via LeMat-Bulk describes a relaxed Ce2PrGa6 crystal. The functional is PBE-GGA.

```
data_Ce2PrGa6
_chemical_formula_sum 'Ce2 Pr1 Ga6'
_symmetry_space_group_name_H-M 'P 1'
_symmetry_Int_Tables_number 1
_symmetry_space_group_name_Hall 'P 1'
_cell_length_a 4.2517
_cell_length_b 7.4157
_cell_length_c 7.4157
_cell_angle_alpha 120.00
_cell_angle_beta 90.00
_cell_angle_gamma 90.00
loop_
_atom_site_label
_atom_site_type_symbol
_atom_site_fract_x
_atom_site_fract_y
_atom_site_fract_z
Ga1 Ga 0.5000 0.6656 0.0000
Ga2 Ga 0.5000 0.3344 0.0000
Ga3 Ga 0.5000 0.3344 0.3344
Ga4 Ga 0.5000 0.0000 0.6656
Ga5 Ga 0.5000 0.0000 0.3344
Ga6 Ga 0.5000 0.6656 0.6656
Ce1 Ce 0.0000 0.6667 0.3333
Ce2 Ce 0.0000 0.3333 0.6667
Pr1 Pr 0.0000 0.0000 0.0000
```

Summary:
VASP energy ... -4.49 eV/atom
ρ ... 6.88 g/cm³
Space-group type ... P6/mmm (191)
Spin magnetization ... 1.269 μB/cell
DOS(E_F) ... 13.8 states/eV/cell
Formation energy ... -0.62 eV per atom



(4)
This record from Alexandria via LeMat-Bulk describes a relaxed Ce2PrGa6 crystal. The functional is PBE-GGA.

```
data_Ce2PrGa6
_chemical_formula_sum 'Ce2 Pr1 Ga6'
_symmetry_space_group_name_H-M 'P 1'
_symmetry_Int_Tables_number 1
_symmetry_space_group_name_Hall 'P 1'
_cell_length_a 4.5117
_cell_length_b 7.7294
_cell_length_c 7.7294
_cell_angle_alpha 55.87
_cell_angle_beta 73.03
_cell_angle_gamma 73.03
loop_
_atom_site_label
_atom_site_type_symbol
_atom_site_fract_x
_atom_site_fract_y
_atom_site_fract_z
Ga1 Ga 0.1903 0.5059 0.1136
Ga2 Ga 0.8097 0.8864 0.4941
Ga3 Ga 0.1903 0.1136 0.5059
Ga4 Ga 0.0000 0.8024 0.1976
Ga5 Ga 0.0000 0.1976 0.8024
Ga6 Ga 0.8097 0.4941 0.8864
Ce1 Ce 0.3917 0.1083 0.1083
Ce2 Ce 0.6083 0.8917 0.8917
Pr1 Pr 0.5000 0.5000 0.5000
```

Summary:
VASP energy ... -4.28 eV/atom
ρ ... 6.62 g/cm³
Space-group type ... Immm (71)
Spin magnetization ... 1.044 μB/cell
DOS(E_F) ... 10.9 states/eV/cell
Formation energy ... -0.41 eV per atom



(5)
This record from Alexandria via LeMat-Bulk describes a relaxed CePrGa2 crystal. The functional is PBE-GGA.

```
data_CePrGa2
_chemical_formula_sum 'Ce1 Pr1 Ga2'
_symmetry_space_group_name_H-M 'P 1'
_symmetry_Int_Tables_number 1
_symmetry_space_group_name_Hall 'P 1'
_cell_length_a 3.7410
_cell_length_b 3.7410
_cell_length_c 9.2734
_cell_angle_alpha 78.36
_cell_angle_beta 78.36
_cell_angle_gamma 60.00
loop_
_atom_site_label
_atom_site_type_symbol
_atom_site_fract_x
_atom_site_fract_y
_atom_site_fract_z
Ga1 Ga 0.7488 0.7488 0.7535
Ga2 Ga 0.2512 0.2512 0.2465
Pr1 Pr 0.5000 0.5000 0.5000
Ce1 Ce 0.0000 0.0000 0.0000
```

Summary:
VASP energy ... -4.48 eV/atom
ρ ... 6.39 g/cm³
Space-group type ... R-3m (166)
Spin magnetization ... 0.594 μB/cell
DOS(E_F) ... 6.7 states/eV/cell
Formation energy ... -0.29 eV per atom



(6)
This record from Alexandria via LeMat-Bulk describes a relaxed CePr4Ga2 crystal. The functional is PBE-GGA.

```
data_CePr4Ga2
_chemical_formula_sum 'Ce1 Pr4 Ga2'
_symmetry_space_group_name_H-M 'P 1'
_symmetry_Int_Tables_number 1
_symmetry_space_group_name_Hall 'P 1'
_cell_length_a 5.0396
_cell_length_b 5.0396
_cell_length_c 10.6568
_cell_angle_alpha 76.32
_cell_angle_beta 76.32
_cell_angle_gamma 60.00
loop_
_atom_site_label
_atom_site_type_symbol
_atom_site_fract_x
_atom_site_fract_y
_atom_site_fract_z
Ce1 Ce 0.5000 0.5000 0.5000
Pr1 Pr 0.1111 0.1111 0.6666
Pr2 Pr 0.2960 0.2960 0.1119
Pr3 Pr 0.8889 0.8889 0.3334
Pr4 Pr 0.7040 0.7040 0.8881
Ga1 Ga 0.4020 0.4020 0.7941
Ga2 Ga 0.5980 0.5980 0.2059
```

Summary:
VASP energy ... -4.52 eV/atom
ρ ... 6.21 g/cm³
Space-group type ... R-3m (166)
Spin magnetization ... 0.885 μB/cell
DOS(E_F) ... 14.1 states/eV/cell
Formation energy ... -0.07 eV per atom



(7)
This record from Alexandria via LeMat-Bulk describes a relaxed Ce2PrGa4 crystal. The functional is PBE-GGA.

```
data_Ce2PrGa4
_chemical_formula_sum 'Ce2 Pr1 Ga4'
_symmetry_space_group_name_H-M 'P 1'
_symmetry_Int_Tables_number 1
_symmetry_space_group_name_Hall 'P 1'
_cell_length_a 4.2013
_cell_length_b 4.3143
_cell_length_c 9.9060
_cell_angle_alpha 102.58
_cell_angle_beta 102.24
_cell_angle_gamma 90.00
loop_
_atom_site_label
_atom_site_type_symbol
_atom_site_fract_x
_atom_site_fract_y
_atom_site_fract_z
Ce1 Ce 0.1888 0.1888 0.3777
Ce2 Ce 0.8112 0.8112 0.6223
Ga1 Ga 0.6421 0.6421 0.2841
Ga2 Ga 0.3579 0.3579 0.7159
Ga3 Ga 0.0661 0.5661 0.1322
Ga4 Ga 0.9339 0.4339 0.8678
Pr1 Pr 0.5000 0.0000 0.0000
```

Summary:
VASP energy ... -4.66 eV/atom
ρ ... 6.80 g/cm³
Space-group type ... Immm (71)
Spin magnetization ... 2.148 μB/cell
DOS(E_F) ... 11.5 states/eV/cell
Formation energy ... -0.55 eV per atom



(8)
This record from Alexandria via LeMat-Bulk describes a relaxed CePrGa2 crystal. The functional is PBE-GGA.

```
data_CePrGa2
_chemical_formula_sum 'Ce1 Pr1 Ga2'
_symmetry_space_group_name_H-M 'P 1'
_symmetry_Int_Tables_number 1
_symmetry_space_group_name_Hall 'P 1'
_cell_length_a 3.4534
_cell_length_b 3.4534
_cell_length_c 8.2437
_cell_angle_alpha 90.00
_cell_angle_beta 90.00
_cell_angle_gamma 90.00
loop_
_atom_site_label
_atom_site_type_symbol
_atom_site_fract_x
_atom_site_fract_y
_atom_site_fract_z
Pr1 Pr 0.5000 0.5000 0.5000
Ce1 Ce 0.5000 0.5000 0.0000
Ga1 Ga 0.0000 0.0000 0.2452
Ga2 Ga 0.0000 0.0000 0.7548
```

Summary:
VASP energy ... -4.69 eV/atom
ρ ... 7.10 g/cm³
Space-group type ... P4/mmm (123)
Spin magnetization ... 0.486 μB/cell
DOS(E_F) ... 4.8 states/eV/cell
Formation energy ... -0.50 eV per atom



(9)
This record from Alexandria via LeMat-Bulk describes a relaxed CePr3Ga2 crystal. The functional is PBE-GGA.

```
data_CePr3Ga2
_chemical_formula_sum 'Ce2 Pr6 Ga4'
_symmetry_space_group_name_H-M 'P 1'
_symmetry_Int_Tables_number 1
_symmetry_space_group_name_Hall 'P 1'
_cell_length_a 4.8836
_cell_length_b 8.5386
_cell_length_c 9.3190
_cell_angle_alpha 117.27
_cell_angle_beta 105.19
_cell_angle_gamma 90.00
loop_
_atom_site_label
_atom_site_type_symbol
_atom_site_fract_x
_atom_site_fract_y
_atom_site_fract_z
Ga1 Ga 0.3523 0.3521 0.7042
Ga2 Ga 0.6477 0.6479 0.2958
Ga3 Ga 0.3519 0.8521 0.7042
Ga4 Ga 0.6481 0.1479 0.2958
Pr1 Pr 0.1800 0.4300 0.3601
Pr2 Pr 0.8200 0.5700 0.6399
Pr3 Pr 0.5000 0.7500 0.0000
Pr4 Pr 0.1800 0.9300 0.3601
Pr5 Pr 0.5000 0.2500 0.0000
Pr6 Pr 0.8200 0.0700 0.6399
Ce1 Ce 0.0000 0.5000 0.0000
Ce2 Ce 0.0000 0.0000 0.0000
```

Summary:
VASP energy ... -4.67 eV/atom
ρ ... 7.07 g/cm³
Space-group type ... Cmmm (65)
Spin magnetization ... 0.002 μB/cell
DOS(E_F) ... 19.5 states/eV/cell
Formation energy ... -0.28 eV per atom



(10)
This record from Alexandria via LeMat-Bulk describes a relaxed CePr2Ga crystal. The functional is PBE-GGA.

```
data_CePr2Ga
_chemical_formula_sum 'Ce1 Pr2 Ga1'
_symmetry_space_group_name_H-M 'P 1'
_symmetry_Int_Tables_number 1
_symmetry_space_group_name_Hall 'P 1'
_cell_length_a 4.6480
_cell_length_b 4.9077
_cell_length_c 4.9077
_cell_angle_alpha 90.00
_cell_angle_beta 90.00
_cell_angle_gamma 90.00
loop_
_atom_site_label
_atom_site_type_symbol
_atom_site_fract_x
_atom_site_fract_y
_atom_site_fract_z
Ga1 Ga 0.5000 0.0000 0.0000
Pr1 Pr 0.0000 0.0000 0.5000
Pr2 Pr 0.0000 0.5000 0.0000
Ce1 Ce 0.5000 0.5000 0.5000
```

Summary:
VASP energy ... -4.83 eV/atom
ρ ... 7.29 g/cm³
Space-group type ... P4/mmm (123)
Spin magnetization ... 0.585 μB/cell
DOS(E_F) ... 7.4 states/eV/cell
Formation energy ... -0.20 eV per atom